Record 1
Material: Pa2MnGe4Ir3
Method: DFT, GGA-PBE
State: optimized geometry

```
10
Lattice="4.012 0.000 0.000 0.000 4.012 0.000 0.000 0.000 11.090" Properties=species:S:1:pos:R:3 pbc="T T T"
Pa 0.000 2.006 2.763
Pa 2.006 0.000 8.327
Mn 2.006 2.006 0.000
Ge 0.000 0.000 5.545
Ge 0.000 2.006 9.631
Ge 2.006 0.000 1.459
Ge 2.006 2.006 5.545
Ir 0.000 0.000 0.000
Ir 0.000 2.006 7.207
Ir 2.006 0.000 3.883
```

Output
calculated formation energy: -0.59 eV/atom
uncorrected energy: -79.096 eV per formula unit
space group: P-4m2, No. 115
crystal system: tetragonal

=====

Record 2
Material: Pr2MnGe3Ir4
Method: DFT, GGA-PBE
State: optimized geometry

```
10
Lattice="4.207 0.000 0.000 0.000 4.207 0.000 0.000 0.000 10.557" Properties=species:S:1:pos:R:3 pbc="T T T"
Pr 0.000 2.104 2.635
Pr 2.104 0.000 7.921
Mn 0.000 0.000 5.278
Ge 0.000 2.104 9.194
Ge 2.104 0.000 1.363
Ge 2.104 2.104 5.278
Ir 0.000 0.000 0.000
Ir 0.000 2.104 6.710
Ir 2.104 0.000 3.847
Ir 2.104 2.104 0.000
```

Output
calculated formation energy: -0.68 eV/atom
uncorrected energy: -74.843 eV per formula unit
space group: P-4m2, No. 115
crystal system: tetragonal

=====

Record 3
Material: PuMnGe2Ir
Method: DFT, GGA-PBE
State: optimized geometry

```
10
Lattice="4.046 0.000 0.000 0.000 4.046 0.000 0.000 0.000 10.840" Properties=species:S:1:pos:R:3 pbc="T T T"
Pu 0.000 0.000 0.000
Pu 2.023 2.023 5.420
Mn 0.000 2.023 2.710
Mn 2.023 0.000 8.130
Ge 0.000 0.000 4.153
Ge 0.000 0.000 6.687
Ge 2.023 2.023 1.267
Ge 2.023 2.023 9.573
Ir 0.000 2.023 8.130
Ir 2.023 0.000 2.710
```

Output
calculated formation energy: -0.45 eV/atom
uncorrected energy: -43.847 eV per formula unit
space group: I-4m2, No. 119
crystal system: tetragonal

=====

Record 4
Material: MnReGeIr
Method: DFT, GGA-PBE
State: optimized geometry

```
16
Lattice="6.076 0.000 0.000 0.000 6.076 0.000 0.000 0.000 6.076" Properties=species:S:1:pos:R:3 pbc="T T T"
Mn 0.000 0.000 0.000
Mn 0.000 3.038 3.038
Mn 3.038 0.000 3.038
Mn 3.038 3.038 0.000
Re 1.519 1.519 4.557
Re 1.519 4.557 1.519
Re 4.557 1.519 1.519
Re 4.557 4.557 4.557
Ge 0.000 0.000 3.038
Ge 0.000 3.038 0.000
Ge 3.038 0.000 0.000
Ge 3.038 3.038 3.038
Ir 1.519 1.519 1.519
Ir 1.519 4.557 4.557
Ir 4.557 1.519 4.557
Ir 4.557 4.557 1.519
```

Output
calculated formation energy: -0.05 eV/atom
uncorrected energy: -35.290 eV per formula unit
space group: F-43m, No. 216
crystal system: cubic

=====

Record 5
Material: MnGeIrRh
Method: DFT, GGA-PBE
State: optimized geometry

```
16
Lattice="6.102 0.000 0.000 0.000 6.102 0.000 0.000 0.000 6.102" Properties=species:S:1:pos:R:3 pbc="T T T"
Mn 0.000 0.000 0.000
Mn 0.000 3.051 3.051
Mn 3.051 0.000 3.051
Mn 3.051 3.051 0.000
Ge 0.000 0.000 3.051
Ge 0.000 3.051 0.000
Ge 3.051 0.000 0.000
Ge 3.051 3.051 3.051
Ir 1.526 1.526 1.526
Ir 1.526 4.577 4.577
Ir 4.577 1.526 4.577
Ir 4.577 4.577 1.526
Rh 1.526 1.526 4.577
Rh 1.526 4.577 1.526
Rh 4.577 1.526 1.526
Rh 4.577 4.577 4.577
```

Output
calculated formation energy: -0.31 eV/atom
uncorrected energy: -31.229 eV per formula unit
space group: F-43m, No. 216
crystal system: cubic

=====

Record 6
Material: SmMnGe2Ir
Method: DFT, GGA-PBE
State: optimized geometry

```
10
Lattice="4.088 0.000 0.000 0.000 4.088 0.000 0.000 0.000 10.758" Properties=species:S:1:pos:R:3 pbc="T T T"
Sm 0.000 0.000 0.000
Sm 2.044 2.044 5.379
Mn 0.000 2.044 8.068
Mn 2.044 0.000 2.689
Ge 0.000 0.000 4.110
Ge 0.000 0.000 6.647
Ge 2.044 2.044 1.269
Ge 2.044 2.044 9.489
Ir 0.000 2.044 2.689
Ir 2.044 0.000 8.068
```

Output
calculated formation energy: -0.63 eV/atom
uncorrected energy: -35.155 eV per formula unit
space group: I-4m2, No. 119
crystal system: tetragonal

=====

Record 7
Material: Tb2MnGe4Ir3
Method: DFT, GGA-PBE
State: optimized geometry

```
10
Lattice="4.143 0.000 0.000 0.000 4.143 0.000 0.000 0.000 10.540" Properties=species:S:1:pos:R:3 pbc="T T T"
Tb 0.000 2.071 2.633
Tb 2.071 0.000 7.907
Mn 0.000 0.000 5.270
Ge 0.000 0.000 0.000
Ge 0.000 2.071 6.706
Ge 2.071 0.000 3.834
Ge 2.071 2.071 0.000
Ir 0.000 2.071 9.158
Ir 2.071 0.000 1.382
Ir 2.071 2.071 5.270
```

Output
calculated formation energy: -0.67 eV/atom
uncorrected energy: -70.174 eV per formula unit
space group: P-4m2, No. 115
crystal system: tetragonal

=====

Record 8
Material: U2MnGe3Ir4
Method: DFT, GGA-PBE
State: optimized geometry

```
10
Lattice="4.072 0.000 0.000 0.000 4.072 0.000 0.000 0.000 10.746" Properties=species:S:1:pos:R:3 pbc="T T T"
U 0.000 2.036 2.649
U 2.036 0.000 8.097
Mn 2.036 2.036 0.000
Ge 0.000 0.000 0.000
Ge 0.000 2.036 6.774
Ge 2.036 0.000 3.972
Ir 0.000 0.000 5.373
Ir 0.000 2.036 9.195
Ir 2.036 0.000 1.551
Ir 2.036 2.036 5.373
```

Output
calculated formation energy: -0.41 eV/atom
uncorrected energy: -85.132 eV per formula unit
space group: P-4m2, No. 115
crystal system: tetragonal